(1)
# Nd2NiBr

A relaxed Nd2NiBr crystal (GGA-PBE, Alexandria via LeMat-Bulk).

Structure (CIF):
```
data_Nd2NiBr
_space_group_name_H-M_alt 'P 4/m m m'
_space_group_IT_number 123
_space_group_name_Hall '-P 4 2'
_cell_length_a 3.480
_cell_length_b 3.480
_cell_length_c 8.220
_cell_angle_alpha 90.00
_cell_angle_beta 90.00
_cell_angle_gamma 90.00
loop_
_atom_site_label
_atom_site_type_symbol
_atom_site_fract_x
_atom_site_fract_y
_atom_site_fract_z
_atom_site_occupancy
Nd1 Nd 0.000 0.000 0.208 1
Ni1 Ni 0.500 0.500 0.000 1
Br1 Br 0.500 0.500 0.500 1
```

Values from the calculation:
- ΔE_f (raw): -0.63 eV/atom
- Raw total energy: -4.881 eV/atom
- Magnetization: 0.000 μB/f.u.
- ΔE to the lowest computed polymorph: 65.2 kJ/mol of formula units



(2)
# YHf2MoPb

A relaxed YHf2MoPb crystal (GGA-PBE, Alexandria via LeMat-Bulk).

Structure (CIF):
```
data_YHf2MoPb
_space_group_name_H-M_alt 'P 4/m m m'
_space_group_IT_number 123
_space_group_name_Hall '-P 4 2'
_cell_length_a 5.276
_cell_length_b 5.276
_cell_length_c 4.798
_cell_angle_alpha 90.00
_cell_angle_beta 90.00
_cell_angle_gamma 90.00
loop_
_atom_site_label
_atom_site_type_symbol
_atom_site_fract_x
_atom_site_fract_y
_atom_site_fract_z
_atom_site_occupancy
Y1 Y 0.000 0.000 0.000 1
Hf1 Hf 0.000 0.500 0.000 1
Mo1 Mo 0.000 0.000 0.500 1
Pb1 Pb 0.500 0.500 0.500 1
```

Values from the calculation:
- DFT formation energy: 821 kJ/mol of formula units
- Raw total energy: -6.480 eV/atom
- Magnetization: 0.470 μB/f.u.



(3)
# Sm2Al5Au4

A relaxed Sm2Al5Au4 crystal (GGA-PBE, Alexandria via LeMat-Bulk).

Structure (CIF):
```
data_Sm2Al5Au4
_space_group_name_H-M_alt 'F m m m'
_space_group_IT_number 69
_space_group_name_Hall '-F 2 2'
_cell_length_a 5.492
_cell_length_b 9.429
_cell_length_c 17.280
_cell_angle_alpha 90.00
_cell_angle_beta 90.00
_cell_angle_gamma 90.00
loop_
_atom_site_label
_atom_site_type_symbol
_atom_site_fract_x
_atom_site_fract_y
_atom_site_fract_z
_atom_site_occupancy
Sm1 Sm 0.000 0.000 0.108 1
Al1 Al 0.000 0.000 0.500 1
Al2 Al 0.250 0.250 0.000 1
Al3 Al 0.250 0.250 0.250 1
Au1 Au 0.000 0.163 0.368 1
```

Values from the calculation:
- DFT formation energy: -635 kJ/mol of formula units
- Raw total energy: -4.349 eV/atom
- Magnetization: 0.000 μB/f.u.



(4)
# Ba2PmAg

A relaxed Ba2PmAg crystal (GGA-PBE, Alexandria via LeMat-Bulk).

Structure (CIF):
```
data_Ba2PmAg
_space_group_name_H-M_alt 'R -3 m'
_space_group_IT_number 166
_space_group_name_Hall '-R 3 2"'
_cell_length_a 3.9814
_cell_length_b 3.9814
_cell_length_c 37.1092
_cell_angle_alpha 90.00
_cell_angle_beta 90.00
_cell_angle_gamma 120.00
loop_
_atom_site_label
_atom_site_type_symbol
_atom_site_fract_x
_atom_site_fract_y
_atom_site_fract_z
_atom_site_occupancy
Ba1 Ba 0.0000 0.0000 0.1006 1
Pm1 Pm 0.0000 0.0000 0.0000 1
Ag1 Ag 0.0000 0.0000 0.5000 1
```

Values from the calculation:
- DFT formation energy: 109 kJ/mol of formula units
- Raw total energy: -2.581 eV/atom
- Magnetization: 0.652 μB/f.u.
- ΔE to the lowest computed polymorph: 92.5 kJ/mol of formula units



(5)
# TiMn2V6

A relaxed TiMn2V6 crystal (GGA-PBE, Alexandria via LeMat-Bulk).

Structure (CIF):
```
data_TiMn2V6
_space_group_name_H-M_alt 'P 4/m m m'
_space_group_IT_number 123
_space_group_name_Hall '-P 4 2'
_cell_length_a 4.102
_cell_length_b 4.102
_cell_length_c 7.499
_cell_angle_alpha 90.00
_cell_angle_beta 90.00
_cell_angle_gamma 90.00
loop_
_atom_site_label
_atom_site_type_symbol
_atom_site_fract_x
_atom_site_fract_y
_atom_site_fract_z
_atom_site_occupancy
Ti1 Ti 0.000 0.000 0.000 1
Mn1 Mn 0.500 0.500 0.142 1
V1 V 0.000 0.000 0.500 1
V2 V 0.000 0.500 0.292 1
V3 V 0.500 0.500 0.500 1
```

Values from the calculation:
- DFT formation energy: 136 kJ/mol of formula units
- Raw total energy: -8.838 eV/atom
- Magnetization: 0.000 μB/f.u.
- ΔE to the lowest computed polymorph: 254.8 kJ/mol of formula units



(6)
# RbTlAsSe2

A relaxed RbTlAsSe2 crystal (GGA-PBE, Alexandria via LeMat-Bulk).

Structure (CIF):
```
data_RbTlAsSe2
_space_group_name_H-M_alt 'P 4/m m m'
_space_group_IT_number 123
_space_group_name_Hall '-P 4 2'
_cell_length_a 5.631
_cell_length_b 5.631
_cell_length_c 5.456
_cell_angle_alpha 90.00
_cell_angle_beta 90.00
_cell_angle_gamma 90.00
loop_
_atom_site_label
_atom_site_type_symbol
_atom_site_fract_x
_atom_site_fract_y
_atom_site_fract_z
_atom_site_occupancy
Rb1 Rb 0.000 0.000 0.000 1
Tl1 Tl 0.500 0.500 0.500 1
As1 As 0.500 0.500 0.000 1
Se1 Se 0.000 0.500 0.500 1
```

Values from the calculation:
- ΔE_f (raw): 0.13 eV/atom
- Raw total energy: -2.865 eV/atom
- Magnetization: 1.794 μB/f.u.
- ΔE to the lowest computed polymorph: 0.0 kJ/mol of formula units